YAsBr2: optimized geometry, PBE.

The formation energy from raw total energies comes out at -1.1192 eV/atom. The calculation puts the energy at -4.734 eV/atom.

The space group is C2/m (No. 12) and the conventional cell measures 15.4909, 3.8493 and 4.4656 Å, with angles of 90.00, 94.83 and 90.00 degrees. The asymmetric unit holds Y at (0.0000, 0.0000, 0.0000), As at (0.0000, 0.5000, 0.5000) and Br at (0.1449, 0.5000, 0.2042).